(1)
RbMoIr2: relaxed, PBE-GGA.

Calculated values
As for the calculated formation energy: 1.076 eV/atom. As for the calculated total energy: -0.2317 hartree per atom. As for the energy above the lowest structure with this stoichiometry: 0 meV/atom. As for the space group: I-42d (122). As for the crystal system: tetragonal.

Lattice parameters (Å, degrees): 7.492 7.492 7.385 90.00 90.00 90.00
Positions (direct):
Rb  0.000  0.000  0.000
Rb  0.000  0.500  0.250
Rb  0.500  0.000  0.750
Rb  0.500  0.500  0.500
Mo  0.000  0.000  0.500
Mo  0.000  0.500  0.750
Mo  0.500  0.000  0.250
Mo  0.500  0.500  0.000
Ir  0.159  0.250  0.625
Ir  0.250  0.659  0.875
Ir  0.250  0.841  0.375
Ir  0.341  0.250  0.125
Ir  0.659  0.750  0.125
Ir  0.750  0.159  0.375
Ir  0.750  0.341  0.875
Ir  0.841  0.750  0.625



(2)
RbMoIr2: relaxed, PBE-GGA.

Calculated values
As for the calculated formation energy: 1.420 eV/atom. As for the calculated total energy: -0.2190 hartree per atom. As for the energy above the lowest structure with this stoichiometry: 344 meV/atom. As for the space group: Fm-3m (225). As for the crystal system: cubic.

Lattice parameters (Å, degrees): 6.635 6.635 6.635 90.00 90.00 90.00
Positions (direct):
Rb  0.000  0.000  0.000
Rb  0.000  0.500  0.500
Rb  0.500  0.000  0.500
Rb  0.500  0.500  0.000
Mo  0.000  0.000  0.500
Mo  0.000  0.500  0.000
Mo  0.500  0.000  0.000
Mo  0.500  0.500  0.500
Ir  0.250  0.250  0.250
Ir  0.250  0.250  0.750
Ir  0.250  0.750  0.250
Ir  0.250  0.750  0.750
Ir  0.750  0.250  0.250
Ir  0.750  0.250  0.750
Ir  0.750  0.750  0.250
Ir  0.750  0.750  0.750



(3)
RbMoIr3: relaxed, PBE-GGA.

Calculated values
As for the calculated formation energy: 3.569 eV/atom. As for the calculated total energy: -0.1509 hartree per atom. As for the energy above the lowest structure with this stoichiometry: 2247 meV/atom. As for the space group: Pm-3m (221). As for the crystal system: cubic.

Lattice parameters (Å, degrees): 4.711 4.711 4.711 90.00 90.00 90.00
Positions (direct):
Rb  0.000  0.000  0.000
Mo  0.500  0.500  0.500
Ir  0.000  0.000  0.500
Ir  0.000  0.500  0.000
Ir  0.500  0.000  0.000



(4)
RbMoIr3: relaxed, PBE-GGA.

Calculated values
As for the calculated formation energy: 1.322 eV/atom. As for the calculated total energy: -0.2335 hartree per atom. As for the energy above the lowest structure with this stoichiometry: 0 meV/atom. As for the space group: Pm-3m (221). As for the crystal system: cubic.

Lattice parameters (Å, degrees): 4.854 4.854 4.854 90.00 90.00 90.00
Positions (direct):
Rb  0.000  0.000  0.000
Mo  0.500  0.500  0.500
Ir  0.000  0.500  0.500
Ir  0.500  0.000  0.500
Ir  0.500  0.500  0.000



(5)
RbSb2MoIr: relaxed, PBE-GGA.

Calculated values
The calculation puts the formation energy from raw total energies at 3.90 eV per formula unit. As for the calculated total energy: -0.1838 hartree per atom. As for the space group: P4/mmm (123). As for the crystal system: tetragonal.

Lattice parameters (Å, degrees): 5.383 5.383 5.123 90.00 90.00 90.00
Positions (direct):
Rb  0.000  0.000  0.000
Sb  0.000  0.500  0.500
Sb  0.500  0.000  0.500
Mo  0.500  0.500  0.000
Ir  0.500  0.500  0.500



(6)
RbZrMoIr2: relaxed, PBE-GGA.

Calculated values
As for the calculated formation energy: 1.917 eV/atom. As for the calculated total energy: -0.2094 hartree per atom. As for the space group: P4/mmm (123). As for the crystal system: tetragonal.

Lattice parameters (Å, degrees): 4.918 4.918 5.489 90.00 90.00 90.00
Positions (direct):
Rb  0.000  0.000  0.000
Zr  0.000  0.000  0.500
Mo  0.500  0.500  0.000
Ir  0.000  0.500  0.500
Ir  0.500  0.000  0.500